YMn: relaxed, PBE.

a = 9.8874 Å, b = 9.8874 Å, c = 3.8129 Å
α = 90.00°, β = 90.00°, γ = 90.00°
Space group P4/m (No. 83)
Asymmetric unit:
Y (0.0190, 0.7690, 0.0000) x4
Y (0.2935, 0.6614, 0.5000) x4
Mn (0.0700, 0.4128, 0.5000) x4
Mn (0.1277, 0.4992, 0.0000) x4

- Energy relative to the elements: 300.6 meV/atom
- DOS(E_F): 1.141 states/eV per atom